Entry 1:
VASP calculation (PBE-GGA) on a relaxed K4NaBr4 crystal.

Geometry as extended XYZ:
```
18
Lattice="9.3390 0.0000 0.0000 0.0000 9.3390 0.0000 0.0000 0.0000 8.4340" Properties=species:S:1:pos:R:3 pbc="T T T"
K 0.2174 2.3348 0.8166
K 2.3348 0.2174 5.0336
K 2.3348 4.4521 5.0336
K 4.4521 2.3348 0.8166
K 4.8869 7.0043 7.6174
K 7.0043 4.8869 3.4004
K 7.0043 9.1216 3.4004
K 9.1216 7.0043 7.6174
Na 2.3348 7.0043 2.1085
Na 7.0043 2.3348 6.3255
Br 0.1919 7.0043 4.2237
Br 2.3348 4.8614 8.4273
Br 2.3348 9.1471 8.4273
Br 4.4776 7.0043 4.2237
Br 4.8614 2.3348 4.2103
Br 7.0043 0.1919 0.0067
Br 7.0043 4.4776 0.0067
Br 9.1471 2.3348 4.2103
```

Calculated values
The raw formation energy is -1.4153 eV/atom. The value obtained for the final energy is -2.793 eV/atom.

***

Entry 2:
VASP calculation (PBE-GGA) on a relaxed KNaNbBr6 crystal.

Geometry as extended XYZ:
```
18
Lattice="7.3782 0.0000 0.0000 -3.6891 6.3897 0.0000 0.0000 0.0000 13.9305" Properties=species:S:1:pos:R:3 pbc="T T T"
K 0.0000 0.0000 0.0000
K 0.0000 0.0000 6.9652
Na 0.0000 4.2598 3.4826
Na 3.6891 2.1299 10.4479
Nb 0.0000 4.2598 10.4479
Nb 3.6891 2.1299 3.4826
Br -1.1371 2.4728 8.9341
Br -2.1161 4.1686 11.9616
Br 1.1371 2.4728 11.9616
Br -0.9790 6.1381 8.9341
Br 2.7101 0.2517 1.9689
Br 1.5730 2.2212 4.9964
Br 2.1161 4.1686 8.9341
Br 0.9790 6.1381 11.9616
Br 4.6682 0.2517 4.9964
Br 2.5520 3.9169 1.9689
Br 5.8052 2.2212 1.9689
Br 4.8262 3.9169 4.9964
```

Calculated values
The raw formation energy is -1.1956 eV/atom. The value obtained for the final energy is -3.698 eV/atom.

***

Entry 3:
VASP calculation (PBE-GGA) on a relaxed K2NaNdBr6 crystal.

Geometry as extended XYZ:
```
10
Lattice="0.0000 5.7604 5.7604 5.7604 0.0000 5.7604 5.7604 5.7604 0.0000" Properties=species:S:1:pos:R:3 pbc="T T T"
K 2.8802 2.8802 2.8802
K 8.6406 8.6406 8.6406
Na 0.0000 0.0000 0.0000
Nd 5.7604 5.7604 5.7604
Br 5.7604 5.7604 2.8886
Br 5.7604 2.8886 5.7604
Br 8.6322 5.7604 5.7604
Br 2.8886 5.7604 5.7604
Br 5.7604 8.6322 5.7604
Br 5.7604 5.7604 8.6322
```

Calculated values
The relative energy among the computed polymorphs comes out at 57 meV per atom. The raw formation energy is -1.7257 eV/atom. The value obtained for the final energy is -3.558 eV/atom.

***

Entry 4:
VASP calculation (PBE-GGA) on a relaxed K2NaNdBr6 crystal.

Geometry as extended XYZ:
```
20
Lattice="7.7994 0.0000 0.0000 0.0000 8.2301 0.0000 -7.5176 0.0000 11.1156" Properties=species:S:1:pos:R:3 pbc="T T T"
K -0.1558 0.6478 2.7111
K -3.9146 3.4673 8.2689
K 4.1964 4.7628 2.8467
K 0.4376 7.5824 8.4045
Na -3.7588 0.0000 5.5578
Na 0.0000 4.1151 0.0000
Nd 3.8997 0.0000 0.0000
Nd 0.1409 4.1151 5.5578
Br -5.9684 1.5915 10.4877
Br -2.2096 2.5236 4.9298
Br -5.0936 5.8139 10.4261
Br -1.3348 6.5314 4.8683
Br -2.7571 0.3075 8.3620
Br 1.0016 3.8076 2.8042
Br -0.7198 4.4226 8.3114
Br 3.0390 7.9227 2.7536
Br 1.6166 1.6988 6.2474
Br 5.3754 2.4163 0.6896
Br 2.4914 5.7066 6.1858
Br 6.2502 6.6387 0.6280
```

Calculated values
The relative energy among the computed polymorphs comes out at 0 meV per atom. The raw formation energy is -1.7829 eV/atom. The value obtained for the final energy is -3.615 eV/atom.

***

Entry 5:
VASP calculation (PBE-GGA) on a relaxed KNa2NdBr6 crystal.

Geometry as extended XYZ:
```
10
Lattice="3.8359 2.2147 6.9747 -3.8359 2.2147 6.9747 0.0000 -4.4293 6.9747" Properties=species:S:1:pos:R:3 pbc="T T T"
K 0.0000 0.0000 0.0000
Na 0.0000 0.0000 6.0726
Na 0.0000 0.0000 16.7681
Nd 0.0000 0.0000 10.1576
Br -2.2058 -0.2882 8.2502
Br -1.3414 -2.1379 11.6072
Br 1.3525 -1.7662 8.2503
Br -1.1808 2.2306 11.6072
Br 0.8534 2.0544 8.2503
Br 2.5222 -0.0927 11.6072
```

Calculated values
The raw formation energy is -1.7284 eV/atom. The value obtained for the final energy is -3.582 eV/atom.

***

Entry 6:
VASP calculation (PBE-GGA) on a relaxed KNaNd2Br8 crystal.

Geometry as extended XYZ:
```
12
Lattice="7.1378 0.0000 0.0000 0.0000 8.9878 0.0000 -0.5581 0.0000 7.3297" Properties=species:S:1:pos:R:3 pbc="T T T"
K 0.0000 0.0000 0.0000
Na 0.0000 4.4939 0.0000
Nd 3.2899 2.2818 3.6648
Nd 3.2899 6.7061 3.6648
Br 1.5792 2.4146 1.3894
Br 1.5792 6.5733 1.3894
Br 1.7152 4.4939 4.8442
Br 1.7548 0.0000 4.7815
Br 4.8250 0.0000 2.5481
Br 4.8645 4.4939 2.4855
Br 5.0005 2.4146 5.9403
Br 5.0005 6.5733 5.9403
```

Calculated values
The raw formation energy is -1.7819 eV/atom. The value obtained for the final energy is -3.893 eV/atom.

***

Entry 7:
VASP calculation (PBE-GGA) on a relaxed K2NaNiBr6 crystal.

Geometry as extended XYZ:
```
20
Lattice="7.3268 0.0000 0.0000 0.0000 7.9055 0.0000 -7.2064 0.0000 10.5796" Properties=species:S:1:pos:R:3 pbc="T T T"
K -0.1719 0.6361 2.7082
K -3.7751 3.3166 7.9980
K 3.8955 4.5889 2.5816
K 0.2923 7.2694 7.8714
Na -3.6032 0.0000 5.2898
Na 0.0000 3.9528 0.0000
Ni 3.6634 0.0000 0.0000
Ni 0.0602 3.9528 5.2898
Br -5.5486 1.2952 10.1667
Br -1.9454 2.6576 4.8769
Br -4.9231 5.6154 10.2061
Br -1.3199 6.2429 4.9163
Br -3.0008 0.0162 8.2309
Br 0.6024 3.9366 2.9411
Br -0.4820 3.9690 7.6385
Br 3.1212 7.8893 2.3487
Br 1.4403 1.6626 5.6633
Br 5.0435 2.2902 0.3735
Br 2.0658 5.2480 5.7027
Br 5.6690 6.6104 0.4129
```

Calculated values
The raw formation energy is -1.0697 eV/atom. The value obtained for the final energy is -3.003 eV/atom.

***

Entry 8:
VASP calculation (PBE-GGA) on a relaxed K2NaNiBr crystal.

Geometry as extended XYZ:
```
5
Lattice="6.5381 0.0000 0.0000 0.0000 6.5381 0.0000 0.0000 0.0000 4.8552" Properties=species:S:1:pos:R:3 pbc="T T T"
K 0.0000 3.2690 0.0000
K 3.2690 0.0000 0.0000
Na 0.0000 0.0000 0.0000
Ni 0.0000 0.0000 2.4276
Br 3.2690 3.2690 2.4276
```

Calculated values
The raw formation energy is 0.1115 eV/atom. The value obtained for the final energy is -2.082 eV/atom.

***

Among the records above, which one has the lowest raw formation energy?
number 4